Entry from Alexandria: a relaxed structure of PdWO2 (PBE with a Hubbard U).

N(E_F) in states/eV/f.u.: 2.22
Total energy in eV per atom: -6.233
Crystal system: tetragonal

Cell lengths 4.2283, 4.2283, 12.3875 Å; angles 90.00, 90.00, 90.00 degrees
Space group I-42d (No. 122)
Symmetry-distinct sites (fractional):
Pd: 0.0000 0.0000 0.0000 [4 per cell]
W: 0.0000 0.0000 0.5000 [4 per cell]
O: 0.1806 0.2500 0.6250 [8 per cell]